[1]
This record from Alexandria describes crystalline ZnCoTc at its relaxed geometry. The functional is PBEsol.

Lattice parameters (Å, degrees): 2.647 2.647 5.596 103.68 103.68 90.00
Element x y z (fractional)
Zn 0.342 0.342 0.684
Tc 0.654 0.654 0.308
Co 0.004 0.004 0.008

## Properties
Total energy (eV per cell): -20.64
SG: I4mm



[2]
This record from Alexandria describes crystalline BaMoPb2 at its relaxed geometry. The functional is PBEsol.

Lattice parameters (Å, degrees): 4.658 4.662 7.177 71.10 71.06 60.02
Element x y z (fractional)
Pb 0.718 0.718 0.847
Pb 0.947 0.947 0.158
Mo 0.329 0.329 0.013
Ba 0.506 0.506 0.482

## Properties
Total energy (eV per cell): -20.34
SG: R3m



[3]
This record from Alexandria describes crystalline ZnReNi at its relaxed geometry. The functional is PBEsol.

Lattice parameters (Å, degrees): 2.534 4.155 4.155 120.00 90.00 90.00
Element x y z (fractional)
Ni 0.167 0.000 0.000
Re 0.666 0.667 0.333
Zn 0.166 0.333 0.667

## Properties
Total energy (eV per cell): -20.48
SG: P-6m2



[4]
This record from Alexandria describes crystalline MgCoNi3 at its relaxed geometry. The functional is PBEsol.

Lattice parameters (Å, degrees): 4.170 4.170 4.170 90.00 90.00 90.00
Element x y z (fractional)
Ni 0.500 0.000 0.000
Ni 0.000 0.000 0.500
Ni 0.000 0.500 0.000
Mg 0.000 0.000 0.000
Co 0.500 0.500 0.500

## Properties
Total energy (eV per cell): -20.07
SG: Pm-3m



[5]
This record from Alexandria describes crystalline IrOsRu2 at its relaxed geometry. The functional is PBEsol.

Lattice parameters (Å, degrees): 2.679 2.679 7.607 90.00 90.00 90.00
Element x y z (fractional)
Ir 0.500 0.500 0.000
Ru 0.000 0.000 0.251
Ru 0.000 0.000 0.749
Os 0.500 0.500 0.500

## Properties
Total energy (eV per cell): -42.24
SG: P4/mmm



[6]
This record from Alexandria describes crystalline MnIn2W at its relaxed geometry. The functional is PBEsol.

Lattice parameters (Å, degrees): 2.869 5.062 5.062 109.76 90.00 90.00
Element x y z (fractional)
W 0.500 0.000 0.000
In 0.000 0.000 0.500
In 0.000 0.500 0.000
Mn 0.500 0.500 0.500

## Properties
Total energy (eV per cell): -27.59
SG: Cmmm



[7]
This record from Alexandria describes crystalline AgPd2Pt2 at its relaxed geometry. The functional is PBEsol.

Lattice parameters (Å, degrees): 3.668 3.668 6.763 105.73 105.73 90.00
Element x y z (fractional)
Pt 0.599 0.599 0.198
Pt 0.401 0.401 0.802
Pd 0.250 0.750 0.500
Pd 0.750 0.250 0.500
Ag 0.000 0.000 0.000

## Properties
Total energy (eV per cell): -27.28
SG: I4/mmm



[8]
This record from Alexandria describes crystalline TaBe2W at its relaxed geometry. The functional is PBEsol.

Lattice parameters (Å, degrees): 5.199 5.199 5.199 104.57 104.57 119.80
Element x y z (fractional)
Be 0.366 0.375 0.491
Be 0.125 0.634 0.009
Be 0.625 0.116 0.991
Be 0.884 0.875 0.509
W 0.250 0.750 0.500
W 0.000 0.000 0.000
Ta 0.500 0.500 0.000
Ta 0.750 0.250 0.500

## Properties
Total energy (eV per cell): -64.55
SG: I-42d



[9]
This record from Alexandria describes crystalline Al2HAu2 at its relaxed geometry. The functional is PBEsol.

Lattice parameters (Å, degrees): 4.487 5.584 5.584 90.00 90.00 90.00
Element x y z (fractional)
Al 0.000 0.173 0.327
Al 0.000 0.827 0.673
Al 0.000 0.673 0.173
Al 0.000 0.327 0.827
Au 0.500 0.669 0.831
Au 0.500 0.169 0.669
Au 0.500 0.831 0.331
Au 0.500 0.331 0.169
H 0.000 0.000 0.000
H 0.000 0.500 0.500

## Properties
Total energy (eV per cell): -39.30
SG: P4/mbm



[10]
This record from Alexandria describes crystalline LaRuCl at its relaxed geometry. The functional is PBEsol.

Lattice parameters (Å, degrees): 4.279 4.279 3.584 90.00 90.00 120.00
Element x y z (fractional)
Ru 0.667 0.333 0.192
Cl 0.000 0.000 0.148
La 0.333 0.667 0.660

## Properties
Total energy (eV per cell): -19.15
SG: P3m1
ΔE_f (raw) (eV per atom): -0.541



[11]
This record from Alexandria describes crystalline TlRe2W at its relaxed geometry. The functional is PBEsol.

Lattice parameters (Å, degrees): 2.807 2.807 9.264 90.00 90.00 113.02
Element x y z (fractional)
W 0.500 0.500 0.000
Re 0.000 0.000 0.773
Re 0.000 0.000 0.227
Tl 0.500 0.500 0.500

## Properties
Total energy (eV per cell): -40.53
SG: Cmmm



[12]
This record from Alexandria describes crystalline Mg4CN4 at its relaxed geometry. The functional is PBEsol.

Lattice parameters (Å, degrees): 3.174 10.153 12.456 90.00 90.00 90.00
Element x y z (fractional)
N 0.750 0.723 0.977
N 0.250 0.481 0.613
N 0.250 0.277 0.023
N 0.750 0.517 0.870
N 0.250 0.777 0.477
N 0.750 0.019 0.113
N 0.250 0.256 0.298
N 0.750 0.519 0.387
N 0.250 0.483 0.130
N 0.250 0.981 0.887
N 0.750 0.223 0.523
N 0.250 0.983 0.370
N 0.750 0.017 0.630
N 0.250 0.756 0.202
N 0.750 0.744 0.702
N 0.750 0.244 0.798
Mg 0.250 0.355 0.862
Mg 0.750 0.145 0.362
Mg 0.250 0.116 0.762
Mg 0.250 0.616 0.738
Mg 0.750 0.884 0.238
Mg 0.250 0.855 0.638
Mg 0.750 0.365 0.660
Mg 0.750 0.384 0.262
Mg 0.250 0.635 0.340
Mg 0.250 0.393 0.451
Mg 0.250 0.893 0.049
Mg 0.750 0.607 0.549
Mg 0.750 0.645 0.138
Mg 0.750 0.865 0.840
Mg 0.250 0.135 0.160
Mg 0.750 0.107 0.951
C 0.750 0.619 0.926
C 0.250 0.881 0.426
C 0.250 0.381 0.074
C 0.750 0.119 0.574

## Properties
Total energy (eV per cell): -227.91
SG: Pnma
ΔE_f (raw) (eV per atom): -0.706



Q: Look up the total energy of the third one.
A: -20.48 eV per cell



Q: The highest total energy belongs to which entry?
A: LaRuCl